# 1
# K4BiO5 | Alexandria | GGA-PBE | relaxed
# * energy above the most stable polymorph in this dataset: 12 meV per atom
# * total DFT energy (no corrections): -4.48 eV/atom
data_K4BiO5
_chemical_formula_sum 'K4 Bi1 O5'
_space_group_name_H-M_alt 'P 1'
_space_group_IT_number 1
_cell_length_a 4.395
_cell_length_b 7.424
_cell_length_c 7.424
_cell_angle_alpha 84.97
_cell_angle_beta 72.78
_cell_angle_gamma 72.78
loop_
_space_group_symop_operation_xyz
'x,y,z'
loop_
_atom_site_label
_atom_site_type_symbol
_atom_site_fract_x
_atom_site_fract_y
_atom_site_fract_z
O1 O 0.198 0.875 0.726
O2 O 0.073 0.726 0.125
K1 K 0.750 0.649 0.849
O3 O 0.499 0.000 0.000
K2 K 0.248 0.351 0.151
K3 K 0.399 0.849 0.351
K4 K 0.599 0.151 0.649
O4 O 0.924 0.274 0.875
Bi1 Bi 0.999 0.000 0.000
O5 O 0.800 0.125 0.274



# 2
# KBiO3 | Alexandria | GGA-PBE | relaxed
# * total DFT energy (no corrections): -5.00 eV/atom
data_KBiO3
_chemical_formula_sum 'K2 Bi2 O6'
_space_group_name_H-M_alt 'P 1'
_space_group_IT_number 1
_cell_length_a 3.731
_cell_length_b 5.623
_cell_length_c 7.698
_cell_angle_alpha 90.00
_cell_angle_beta 90.00
_cell_angle_gamma 90.00
loop_
_space_group_symop_operation_xyz
'x,y,z'
loop_
_atom_site_label
_atom_site_type_symbol
_atom_site_fract_x
_atom_site_fract_y
_atom_site_fract_z
O1 O 0.250 0.999 0.377
O2 O 0.750 0.499 0.623
K1 K 0.750 0.250 0.105
O3 O 0.250 0.501 0.377
K2 K 0.250 0.750 0.895
Bi1 Bi 0.750 0.750 0.403
Bi2 Bi 0.250 0.250 0.597
O4 O 0.750 0.750 0.140
O5 O 0.750 0.001 0.623
O6 O 0.250 0.250 0.860



# 3
# K2Bi2O5 | Alexandria | GGA-PBE | relaxed
# * total DFT energy (no corrections): -5.09 eV/atom
data_K2Bi2O5
_chemical_formula_sum 'K4 Bi4 O10'
_space_group_name_H-M_alt 'P 1'
_space_group_IT_number 1
_cell_length_a 6.070
_cell_length_b 6.214
_cell_length_c 9.714
_cell_angle_alpha 108.65
_cell_angle_beta 108.21
_cell_angle_gamma 90.00
loop_
_space_group_symop_operation_xyz
'x,y,z'
loop_
_atom_site_label
_atom_site_type_symbol
_atom_site_fract_x
_atom_site_fract_y
_atom_site_fract_z
O1 O 0.384 0.408 0.751
Bi1 Bi 0.231 0.206 0.500
Bi2 Bi 0.505 0.500 0.000
Bi3 Bi 0.731 0.794 0.500
K1 K 0.111 0.595 0.214
O2 O 0.884 0.843 0.751
Bi4 Bi 0.005 0.000 0.000
O3 O 0.746 0.240 0.982
O4 O 0.634 0.592 0.249
O5 O 0.392 0.898 0.500
O6 O 0.892 0.102 0.500
O7 O 0.134 0.157 0.249
K2 K 0.397 0.881 0.786
K3 K 0.611 0.119 0.214
O8 O 0.264 0.758 0.018
O9 O 0.764 0.760 0.018
O10 O 0.246 0.242 0.982
K4 K 0.897 0.405 0.786



# 4
# KBi6O8 | Alexandria | GGA-PBE | relaxed
# * total DFT energy (no corrections): -5.22 eV/atom
data_KBi6O8
_chemical_formula_sum 'K1 Bi6 O8'
_space_group_name_H-M_alt 'P 1'
_space_group_IT_number 1
_cell_length_a 3.773
_cell_length_b 9.235
_cell_length_c 9.235
_cell_angle_alpha 120.00
_cell_angle_beta 90.00
_cell_angle_gamma 90.00
loop_
_space_group_symop_operation_xyz
'x,y,z'
loop_
_atom_site_label
_atom_site_type_symbol
_atom_site_fract_x
_atom_site_fract_y
_atom_site_fract_z
O1 O 0.823 0.667 0.333
Bi1 Bi 0.768 0.562 0.699
Bi2 Bi 0.768 0.301 0.863
K1 K 0.500 0.000 0.000
Bi3 Bi 0.232 0.438 0.301
O2 O 0.755 0.025 0.720
Bi4 Bi 0.232 0.863 0.562
O3 O 0.755 0.695 0.975
O4 O 0.245 0.975 0.280
O5 O 0.245 0.720 0.695
O6 O 0.177 0.333 0.667
O7 O 0.755 0.280 0.305
O8 O 0.245 0.305 0.025
Bi5 Bi 0.768 0.137 0.438
Bi6 Bi 0.232 0.699 0.137



Computed density of states at the Fermi level (states/eV per cell) in order:
5.42; 5.15; 4.61; 3.61
Computed M_tot (μB/atom) in order:
0.1061; 0.0129; 0.0000; 0.0000
Computed ΔE_f (raw) (eV/f.u.) in order:
-11.772; -5.159; -11.023; -14.244